Li2AsAu3: relaxed, PBE.

Cell: 2.832 4.661 7.982 Å, 90.00 90.00 90.00°
Sites, in units of the cell vectors:
Li (0.000, 0.000, 0.000)
Li (0.000, 0.500, 0.460)
As (0.500, 0.500, 0.806)
Au (0.500, 0.000, 0.321)
Au (0.500, 0.000, 0.668)
Au (0.500, 0.500, 0.131)

Computed properties:
crystal system	orthorhombic
SG	Pmm2
calculated formation energy	-351	meV/atom
spin magnetization	0.000	μB/atom

Li2AsAu2: relaxed, PBE.

Cell: 7.176 7.176 7.176 Å, 150.80 150.80 41.77°
Sites, in units of the cell vectors:
Li (0.250, 0.750, 0.500)
Li (0.750, 0.250, 0.500)
As (0.000, 0.000, 0.000)
Au (0.394, 0.394, 0.000)
Au (0.606, 0.606, 0.000)

Computed properties:
relative energy among the computed polymorphs	334	meV/atom
crystal system	tetragonal
SG	I4/mmm
calculated formation energy	-69	meV/atom
spin magnetization	0.000	μB/atom

> Which value of spin magnetization does entry 2 give?

0.000 μB/atom

> Which of these has the highest calculated formation energy?

Li2AsAu2